No. 1
Below is a relaxed ErZrMn crystal, with properties calculated at the GGA-PBE level.

a = 3.1433 Å, b = 4.2371 Å, c = 5.2028 Å
α = 90.00°, β = 90.00°, γ = 90.00°
Site moments in Bohr magnetons follow the coordinates.
Fractional positions:
Er 0.0000 0.0000 0.0000  -0.16
Mn 0.5000 0.0000 0.5000  2.01
Zr 0.0000 0.5000 0.5000  -0.37

Calculated values
The energy of formation from the pure elements comes out at 0.32 eV per atom. The energy above the most stable polymorph in this dataset is 223 meV/atom.

No. 2
Below is a relaxed Th2AgO crystal, with properties calculated at the GGA-PBE level.

a = 3.4376 Å, b = 3.4376 Å, c = 9.5758 Å
α = 79.66°, β = 79.66°, γ = 60.00°
Fractional positions:
O 0.5000 0.5000 0.5000
Ag 0.0000 0.0000 0.0000
Th 0.1106 0.1106 0.6681
Th 0.8894 0.8894 0.3319

Calculated values
Its uncorrected formation energy is -0.8362 eV/atom.

No. 3
Below is a relaxed LiAgOs3 crystal, with properties calculated at the GGA-PBE level.

a = 4.1573 Å, b = 4.1573 Å, c = 4.1573 Å
α = 90.00°, β = 90.00°, γ = 90.00°
Site moments in Bohr magnetons follow the coordinates.
Fractional positions:
Os 0.5000 0.0000 0.0000  0.36
Os 0.0000 0.5000 0.0000  0.29
Os 0.0000 0.0000 0.5000  0.18
Li 0.0000 0.0000 0.0000  -0.01
Ag 0.5000 0.5000 0.5000  0.04

Calculated values
The energy of formation from the pure elements comes out at 1.61 eV per atom. The energy above the most stable polymorph in this dataset is 0 meV/atom.

No. 4
Below is a relaxed Ba2SiNiSe crystal, with properties calculated at the GGA-PBE level.

a = 5.9805 Å, b = 5.9805 Å, c = 4.3072 Å
α = 90.00°, β = 90.00°, γ = 90.00°
Fractional positions:
Se 0.5000 0.5000 0.5000
Si 0.0000 0.0000 0.5000
Ba 0.5000 0.0000 0.0000
Ba 0.0000 0.5000 0.0000
Ni 0.0000 0.0000 0.0000

Calculated values
Its uncorrected formation energy is -0.7414 eV/atom.

No. 5
Below is a relaxed MoIrPb2 crystal, with properties calculated at the GGA-PBE level.

a = 3.4190 Å, b = 3.4190 Å, c = 6.6990 Å
α = 90.00°, β = 90.00°, γ = 90.00°
Fractional positions:
Pb 0.0000 0.0000 0.5000
Pb 0.0000 0.0000 0.0000
Mo 0.5000 0.5000 0.7500
Ir 0.5000 0.5000 0.2500

Calculated values
The energy of formation from the pure elements comes out at 0.73 eV per atom. The energy above the most stable polymorph in this dataset is 512 meV/atom.

No. 6
Below is a relaxed KAgAsSe2 crystal, with properties calculated at the GGA-PBE level.

a = 6.8091 Å, b = 5.5768 Å, c = 7.9688 Å
α = 110.48°, β = 90.00°, γ = 90.00°
Fractional positions:
Se 0.2566 0.3772 0.7544
Se 0.7434 0.6228 0.2456
Se 0.7434 0.8772 0.7544
Se 0.2566 0.1228 0.2456
As 0.5000 0.7500 0.0000
As 0.5000 0.2500 0.0000
K 0.7617 0.2500 0.5000
K 0.2383 0.7500 0.5000
Ag 0.0000 0.5000 0.0000
Ag 0.0000 0.0000 0.0000

Calculated values
The energy above the most stable polymorph in this dataset is 0 meV/atom. Its uncorrected formation energy is -0.2459 eV/atom.

No. 7
Below is a relaxed NdIn3Te3 crystal, with properties calculated at the GGA-PBE level.

a = 9.3178 Å, b = 9.3187 Å, c = 9.3182 Å
α = 56.91°, β = 56.91°, γ = 56.91°
Fractional positions:
In 0.3256 0.1469 0.8834
In 0.6744 0.8531 0.1166
In 0.8531 0.1166 0.6744
In 0.8834 0.3256 0.1469
In 0.1166 0.6744 0.8531
In 0.1469 0.8834 0.3256
Te 0.9177 0.4843 0.3574
Te 0.0823 0.5157 0.6426
Te 0.5157 0.6426 0.0823
Te 0.6426 0.0823 0.5157
Te 0.4843 0.3574 0.9177
Te 0.3574 0.9177 0.4843
Nd 0.6659 0.6659 0.6659
Nd 0.3341 0.3341 0.3341

Calculated values
Its uncorrected formation energy is -0.5682 eV/atom.

No. 8
Below is a relaxed Er2ThZr crystal, with properties calculated at the GGA-PBE level.

a = 4.0461 Å, b = 4.0461 Å, c = 7.0541 Å
α = 90.00°, β = 90.00°, γ = 90.00°
Fractional positions:
Th 0.5000 0.5000 0.5000
Er 0.0000 0.0000 0.2320
Er 0.0000 0.0000 0.7680
Zr 0.5000 0.5000 0.0000

Calculated values
The energy of formation from the pure elements comes out at 0.19 eV per atom. The energy above the most stable polymorph in this dataset is 132 meV/atom.

Per-record energy, eV/cell: -21.315; -25.994; -30.381; -22.241; -24.196; -33.594; -52.771; -24.349